(1)
VASP calculation (PBE) on an optimized crystal structure of CrFeIr2.

Cell and atoms, written as POSCAR:
```
CrFeIr2
1.0
-1.431 -0.009 4.878
-1.121 -4.420 2.247
3.469 2.855 -2.379
Fe Cr Ir
1 1 2
direct
0.263 0.763 0.500 Fe
0.485 0.485 0.000 Cr
0.734 0.234 0.500 Ir
0.018 0.018 0.000 Ir
```

ρ: 15.35 Mg/m³
calculated volume: 53 Å³/cell
energy of formation: 0.08 eV per atom
space group: Imm2 (44)

(2)
VASP calculation (PBE) on an optimized crystal structure of Cr2Fe2Ir.

Cell and atoms, written as POSCAR:
```
Cr2Fe2Ir
1.0
6.737 0.000 0.000
0.000 6.737 0.000
0.000 0.000 2.605
Ir Cr Fe
2 4 4
direct
0.000 0.000 0.000 Ir
0.500 0.500 0.000 Ir
0.617 0.117 0.000 Cr
0.383 0.883 0.000 Cr
0.883 0.617 0.000 Cr
0.117 0.383 0.000 Cr
0.320 0.180 0.500 Fe
0.820 0.320 0.500 Fe
0.680 0.820 0.500 Fe
0.180 0.680 0.500 Fe
```

ρ: 11.46 Mg/m³
calculated volume: 118 Å³/cell
energy of formation: 0.18 eV per atom
excess energy over the best structure of this formula in the dataset: 0.57 eV per formula unit
space group: P4/mbm (127)

(3)
VASP calculation (PBE) on an optimized crystal structure of CrFe3Ir6.

Cell and atoms, written as POSCAR:
```
CrFe3Ir6
1.0
-2.710 -2.614 -0.537
4.148 -5.321 4.968
-4.313 3.110 6.636
Fe Ir Cr
6 12 2
direct
0.750 0.254 0.000 Fe
0.250 0.746 0.000 Fe
0.750 0.650 0.200 Fe
0.750 0.447 0.602 Fe
0.250 0.553 0.398 Fe
0.250 0.350 0.800 Fe
0.750 0.946 0.101 Ir
0.250 0.645 0.695 Ir
0.250 0.453 0.101 Ir
0.750 0.355 0.305 Ir
0.250 0.054 0.899 Ir
0.750 0.547 0.899 Ir
0.250 0.151 0.204 Ir
0.750 0.146 0.696 Ir
0.750 0.756 0.498 Ir
0.250 0.244 0.502 Ir
0.750 0.849 0.796 Ir
0.250 0.854 0.304 Ir
0.750 0.054 0.397 Cr
0.250 0.946 0.603 Cr
```

ρ: 16.83 Mg/m³
calculated volume: 271 Å³/cell
energy of formation: -0.09 eV per atom
space group: P2_1/m (11)

(4)
VASP calculation (PBE) on an optimized crystal structure of Cr2FeIr.

Cell and atoms, written as POSCAR:
```
Cr2FeIr
1.0
-2.893 -3.639 -1.325
2.048 -4.314 -0.748
-0.672 3.516 3.248
Ir Cr Fe
1 2 1
direct
0.250 0.750 0.500 Ir
0.989 0.989 0.000 Cr
0.511 0.511 0.000 Cr
0.750 0.250 0.500 Fe
```

ρ: 11.79 Mg/m³
calculated volume: 50 Å³/cell
energy of formation: 0.06 eV per atom
excess energy over the best structure of this formula in the dataset: 0.45 eV per formula unit
space group: Immm (71)

(5)
VASP calculation (PBE) on an optimized crystal structure of Cr2FeIr.

Cell and atoms, written as POSCAR:
```
Cr2FeIr
1.0
-0.833 3.808 2.233
-3.993 1.652 -1.228
1.275 -4.081 1.378
Ir Cr Fe
1 2 1
direct
0.750 0.250 0.500 Ir
0.500 0.500 0.000 Cr
0.000 0.000 0.000 Cr
0.250 0.750 0.500 Fe
```

ρ: 11.94 Mg/m³
calculated volume: 49 Å³/cell
energy of formation: -0.05 eV per atom
excess energy over the best structure of this formula in the dataset: 0.00 eV per formula unit
space group: I4/mmm (139)

(6)
VASP calculation (PBE) on an optimized crystal structure of Cr2FeIr.

Cell and atoms, written as POSCAR:
```
Cr2FeIr
1.0
-2.304 3.483 -1.556
-2.109 1.749 -3.515
-4.187 -1.410 0.832
Ir Cr Fe
1 2 1
direct
0.250 0.250 0.241 Ir
0.000 0.000 0.005 Cr
0.752 0.752 0.735 Cr
0.498 0.498 0.519 Fe
```

ρ: 11.83 Mg/m³
calculated volume: 49 Å³/cell
energy of formation: 0.02 eV per atom
excess energy over the best structure of this formula in the dataset: 0.31 eV per formula unit
space group: Cm (8)